# 1
KGaSn after structural relaxation. Source: Alexandria, functional GGA-PBE.

Unit cell a=4.238 b=6.304 c=8.306 alpha=69.85 beta=89.95 gamma=89.97
Fractional coordinates of all 6 atoms:
K  0.000  0.000  0.000
K  0.000  0.350  0.359
Ga  0.000  0.737  0.683
Ga  0.500  0.985  0.669
Sn  0.500  0.429  0.717
Sn  0.501  0.829  0.386

Summary:
- ΔH_f (0 K): -12 kJ per mole of atoms
- N(E_F): 0.3217 states/eV per atom

***

# 2
MnBiP2S after structural relaxation. Source: Alexandria, functional GGA-PBE.

Unit cell a=5.195 b=5.195 c=5.128 alpha=90.00 beta=90.00 gamma=90.00
Fractional coordinates of all 5 atoms:
Mn  0.000  0.000  0.000
Bi  0.500  0.500  0.500
P  0.000  0.500  0.500
P  0.500  0.000  0.500
S  0.500  0.500  0.000

Summary:
- Polymorph energy (0 for the lowest one): 1.612 eV per atom
- N(E_F): 1.3897 states/eV per atom
- Formation energy (no corrections): 1.890 eV per atom

***

# 3
Hf14ZrTa after structural relaxation. Source: Alexandria, functional GGA-PBE.

Unit cell a=10.169 b=6.363 c=6.363 alpha=60.06 beta=90.00 gamma=90.00
Fractional coordinates of all 16 atoms:
Hf  0.000  0.000  0.000
Hf  0.000  0.000  0.498
Hf  0.000  0.498  0.000
Hf  0.000  0.499  0.499
Hf  0.249  0.665  0.665
Hf  0.252  0.170  0.662
Hf  0.252  0.662  0.170
Hf  0.254  0.168  0.168
Hf  0.500  0.336  0.831
Hf  0.500  0.831  0.336
Hf  0.746  0.168  0.168
Hf  0.748  0.170  0.662
Hf  0.748  0.662  0.170
Hf  0.751  0.665  0.665
Zr  0.500  0.832  0.832
Ta  0.500  0.335  0.335

Summary:
- ΔH_f (0 K): 8 kJ per mole of atoms
- N(E_F): 1.3529 states/eV per atom

***

# 4
Tl4Cr after structural relaxation. Source: Alexandria, functional GGA-PBE.

Unit cell a=5.347 b=5.347 c=5.347 alpha=90.00 beta=90.00 gamma=90.00
Fractional coordinates of all 5 atoms:
Tl  0.000  0.000  0.000
Tl  0.000  0.500  0.500
Tl  0.500  0.000  0.500
Tl  0.500  0.500  0.000
Cr  0.500  0.500  0.500

Summary:
- Polymorph energy (0 for the lowest one): 0.077 eV per atom
- ΔH_f (0 K): 38 kJ per mole of atoms
- N(E_F): 0.7691 states/eV per atom

***

# 5
NbV2Os after structural relaxation. Source: Alexandria, functional GGA-PBE.

Unit cell a=5.713 b=5.713 c=5.713 alpha=151.76 beta=131.89 gamma=56.72
Fractional coordinates of all 4 atoms:
Nb  0.000  0.000  0.000
V  0.268  0.268  0.000
V  0.732  0.732  0.000
Os  0.500  0.500  0.000

Summary:
- ΔH_f (0 K): 48 kJ per mole of atoms
- N(E_F): 1.1705 states/eV per atom

***

# 6
Re2HgSe after structural relaxation. Source: Alexandria, functional GGA-PBE.

Unit cell a=2.949 b=4.830 c=4.877 alpha=90.00 beta=90.00 gamma=90.00
Fractional coordinates of all 4 atoms:
Re  0.000  0.000  0.000
Re  0.500  0.000  0.500
Hg  0.000  0.500  0.500
Se  0.500  0.500  0.000

Summary:
- Polymorph energy (0 for the lowest one): 0.787 eV per atom
- N(E_F): 0.9336 states/eV per atom
- Formation energy (no corrections): 1.113 eV per atom

***

# 7
YMg2Co after structural relaxation. Source: Alexandria, functional GGA-PBE.

Unit cell a=3.295 b=3.295 c=7.725 alpha=90.00 beta=90.00 gamma=90.00
Fractional coordinates of all 4 atoms:
Y  0.000  0.000  0.000
Mg  0.000  0.000  0.393
Mg  0.500  0.500  0.664
Co  0.500  0.500  0.208

Summary:
- ΔH_f (0 K): -2 kJ per mole of atoms
- N(E_F): 0.5783 states/eV per atom

***

# 8
KNa2LiBi after structural relaxation. Source: Alexandria, functional GGA-PBE.

Unit cell a=6.171 b=6.171 c=5.470 alpha=90.00 beta=90.00 gamma=90.00
Fractional coordinates of all 5 atoms:
K  0.000  0.000  0.000
Na  0.000  0.500  0.500
Na  0.500  0.000  0.500
Li  0.500  0.500  0.000
Bi  0.500  0.500  0.500

Summary:
- Polymorph energy (0 for the lowest one): 0.000 eV per atom
- ΔH_f (0 K): -19 kJ per mole of atoms
- N(E_F): 0.4813 states/eV per atom